# 1
This record from Alexandria via LeMat-Bulk describes Rb5HgO4 after structural relaxation. The functional is PBE.

a b c (Å): 14.7887 4.2698 9.7249
angles (deg): 90.00 111.98 90.00
With the nearest neighbours (Å) after each atom.
Space group C2/m (No. 12)
Asymmetric unit:
1 Rb 0.0000 0.0000 0.0000 x2  4 O 2.90
2 Rb 0.1571 0.5000 0.3594 x4  4 O 2.74-2.86
3 Rb 0.2102 0.5000 0.8270 x4  3 O 2.84-2.95
4 Hg 0.0000 0.0000 0.5000 x2  2 O 2.00
5 O 0.1421 0.5000 0.0636 x4  6 Rb 2.80-2.95
6 O 0.1434 0.0000 0.5456 x4  1 Hg 2.00

Values from the calculation:
- Fermi-level density of states: 14.6 states/eV/cell
- Raw total energy: -0.12559 Ha/atom
- Theoretical density: 4.0 g/cm³
- Offset from the most stable computed form: 0 meV per atom
- Formation energy from raw total energies: -0.9202 eV per atom
- Magnetic moment: 2.01 μB/cell

***

# 2
This record from Alexandria via LeMat-Bulk describes Rb6HgO2 after structural relaxation. The functional is PBE.

a b c (Å): 7.5255 7.5255 8.1889
angles (deg): 90.00 90.00 120.00
With the nearest neighbours (Å) after each atom.
Space group P-31m (No. 162)
Asymmetric unit:
1 Rb 0.0000 0.3952 0.1922 x6  2 O 2.80
2 Hg 0.0000 0.0000 0.5000 x1  6 Rb 3.90
3 O 0.3333 0.6667 0.0000 x2  6 Rb 2.80

Values from the calculation:
- Fermi-level density of states: 5.5 states/eV/cell
- Raw total energy: -0.09011 Ha/atom
- Theoretical density: 3.1 g/cm³
- Offset from the most stable computed form: 0 meV per atom
- Formation energy from raw total energies: -0.6715 eV per atom
- Magnetic moment: 0.00 μB/cell

***

# 3
This record from Alexandria via LeMat-Bulk describes Rb10Hg2O3 after structural relaxation. The functional is PBE.

a b c (Å): 26.9359 8.4821 11.8003
angles (deg): 90.00 112.11 90.00
With the nearest neighbours (Å) after each atom.
Space group C2/m (No. 12)
Asymmetric unit:
1 Rb 0.0000 0.2090 0.0000 x4  2 O 2.78
2 Rb 0.0181 0.5000 0.6617 x4  2 O 2.78
3 Rb 0.0225 0.0000 0.6744 x4  2 O 2.85
4 Rb 0.1086 0.2450 0.5224 x8  2 O 2.78-2.84
5 Rb 0.1361 0.0000 0.2520 x4  2 O 2.81-3.03
6 Rb 0.1424 0.2293 0.9738 x8  1 O 2.67
7 Rb 0.2299 0.0000 0.7521 x4  1 O 2.69
8 Rb 0.2500 0.2500 0.5000 x4  2 O 2.96
9 Hg 0.1198 0.5000 0.2439 x4  12 Rb 4.03-4.26
10 Hg 0.2182 0.5000 0.7859 x4  11 Rb 4.02-4.33
11 O 0.0000 0.2486 0.5000 x4  6 Rb 2.78-2.85
12 O 0.0752 0.0000 0.9773 x4  4 Rb 2.67-2.78
13 O 0.1747 0.0000 0.5090 x4  6 Rb 2.69-2.96

Values from the calculation:
- Fermi-level density of states: 30.8 states/eV/cell
- Raw total energy: -0.08355 Ha/atom
- Theoretical density: 3.5 g/cm³
- Formation energy from raw total energies: -0.5965 eV per atom
- Magnetic moment: 0.00 μB/cell

***

# 4
This record from Alexandria via LeMat-Bulk describes Rb11HgO2 after structural relaxation. The functional is PBE.

a b c (Å): 15.3048 15.3651 15.0545
angles (deg): 90.00 90.00 90.00
With the nearest neighbours (Å) after each atom.
Space group Ibam (No. 72)
Asymmetric unit:
1 Rb 0.0000 0.0000 0.0000 x4  2 O 3.80
2 Rb 0.0802 0.2566 0.1294 x16  1 O 2.75
3 Rb 0.2007 0.2035 0.5000 x8  1 O 2.66
4 Rb 0.2402 0.4231 0.3715 x16  1 O 2.75
5 Hg 0.0000 0.5000 0.2500 x4  8 Rb 4.27-4.34
6 O 0.1767 0.1740 0.0000 x8  5 Rb 2.66-2.75

Values from the calculation:
- Fermi-level density of states: 38.6 states/eV/cell
- Raw total energy: -0.06889 Ha/atom
- Theoretical density: 2.2 g/cm³
- Formation energy from raw total energies: -0.3846 eV per atom
- Magnetic moment: 0.00 μB/cell

***

# 5
This record from Alexandria via LeMat-Bulk describes Rb6HgO2 after structural relaxation. The functional is PBE.

a b c (Å): 14.2936 5.7545 10.7572
angles (deg): 90.00 115.63 90.00
With the nearest neighbours (Å) after each atom.
Space group C2/m (No. 12)
Asymmetric unit:
1 Rb 0.0128 0.0000 0.1665 x4  2 O 2.74-2.76
2 Rb 0.1969 0.5000 0.6526 x4  1 O 2.71
3 Rb 0.2006 0.5000 0.0559 x4  3 O 2.84-2.95
4 Hg 0.0000 0.0000 0.5000 x2  6 Rb 3.67-3.86
5 O 0.1659 0.0000 0.0780 x4  6 Rb 2.71-2.95

Values from the calculation:
- Fermi-level density of states: 8.8 states/eV/cell
- Raw total energy: -0.08943 Ha/atom
- Theoretical density: 3.1 g/cm³
- Offset from the most stable computed form: 18 meV per atom
- Formation energy from raw total energies: -0.6531 eV per atom
- Magnetic moment: 0.00 μB/cell

***

# 6
This record from Alexandria via LeMat-Bulk describes Rb4HgO after structural relaxation. The functional is PBE.

a b c (Å): 4.2488 8.2261 8.4598
angles (deg): 93.10 103.93 103.91
With the nearest neighbours (Å) after each atom.
Space group P-1 (No. 2)
Asymmetric unit:
1 Rb 0.0209 0.2944 0.2440 x2  1 O 2.74
2 Rb 0.3329 0.3086 0.8394 x2  2 O 2.84-2.85
3 Hg 0.5000 0.0000 0.5000 x1  8 Rb 3.94-4.15, 2 Hg 4.25
4 O 0.0000 0.5000 0.0000 x1  6 Rb 2.74-2.85

Values from the calculation:
- Fermi-level density of states: 4.0 states/eV/cell
- Raw total energy: -0.07502 Ha/atom
- Theoretical density: 3.4 g/cm³
- Offset from the most stable computed form: 2 meV per atom
- Formation energy from raw total energies: -0.5196 eV per atom
- Magnetic moment: 0.00 μB/cell

***

# 7
This record from Alexandria via LeMat-Bulk describes Rb2HgO after structural relaxation. The functional is PBE.

a b c (Å): 9.9025 4.1296 7.0257
angles (deg): 90.00 104.63 90.00
With the nearest neighbours (Å) after each atom.
Space group Cm (No. 8)
Asymmetric unit:
1 Rb 0.0000 0.0000 0.0000 x2  2 O 2.82
2 Rb 0.1905 0.5000 0.6669 x2  3 O 2.88-3.02
3 Hg 0.3523 0.0000 0.3854 x2  1 O 2.33
4 O 0.3994 0.0000 0.7281 x2  1 Hg 2.33

Values from the calculation:
- Raw total energy: -0.09225 Ha/atom
- Theoretical density: 4.6 g/cm³
- Offset from the most stable computed form: 0 meV per atom
- Formation energy from raw total energies: -0.7113 eV per atom
- Magnetic moment: 0.00 μB/cell

***

# 8
This record from Alexandria via LeMat-Bulk describes Rb5HgO4 after structural relaxation. The functional is PBE.

a b c (Å): 8.5470 10.0233 7.1856
angles (deg): 90.00 90.00 90.00
With the nearest neighbours (Å) after each atom.
Space group Pmmn (No. 59, origin choice 2)
Asymmetric unit:
1 Rb 0.0191 0.0406 0.2402 x8  3 O 2.81-2.99
2 Rb 0.2500 0.2500 0.7740 x2  4 O 2.62-2.85
3 Hg 0.2500 0.7500 0.4609 x2  2 O 2.00
4 O 0.0157 0.7500 0.4658 x4  1 Hg 2.00
5 O 0.2500 0.0268 0.9627 x4  5 Rb 2.62-2.81

Values from the calculation:
- Fermi-level density of states: 9.0 states/eV/cell
- Raw total energy: -0.12465 Ha/atom
- Theoretical density: 3.7 g/cm³
- Offset from the most stable computed form: 26 meV per atom
- Formation energy from raw total energies: -0.8945 eV per atom
- Magnetic moment: 2.01 μB/cell